(1)
Computed, not measured: a relaxed Li2Ho2ErIn5 crystal at the GGA-PBE level of DFT. Values from VASP.

Output
E_form (eV/atom): -0.36
Space group: No. 127
Volume (A^3/atom): 23.19

The structure in Quantum ESPRESSO input format:
```
&SYSTEM
  ibrav = 0, nat = 20, ntyp = 4
/
ATOMIC_SPECIES
Li 6.94 Li.upf
Ho 164.93 Ho.upf
Er 167.26 Er.upf
In 114.82 In.upf
CELL_PARAMETERS angstrom
10.272 0.000 0.000
0.000 10.272 0.000
0.000 0.000 4.396
ATOMIC_POSITIONS angstrom
Li 1.230 3.906 0.000
Li 3.906 9.042 0.000
Li 6.366 1.230 0.000
Li 9.042 6.366 0.000
Ho 1.794 6.930 0.000
Ho 3.342 1.794 0.000
Ho 6.930 8.478 0.000
Ho 8.478 3.342 0.000
Er 0.000 0.000 0.000
Er 5.136 5.136 0.000
In 0.000 5.136 2.198
In 0.764 2.167 2.198
In 2.167 9.508 2.198
In 2.969 4.372 2.198
In 4.372 7.303 2.198
In 5.136 0.000 2.198
In 5.900 2.969 2.198
In 7.303 5.900 2.198
In 8.105 0.764 2.198
In 9.508 8.105 2.198
```


(2)
Computed, not measured: a relaxed HoErLuIn crystal at the GGA-PBE level of DFT. Values from VASP.

Output
E_form (eV/atom): -0.13
Space group: No. 216
Volume (A^3/atom): 27.67

The structure in Quantum ESPRESSO input format:
```
&SYSTEM
  ibrav = 0, nat = 4, ntyp = 4
/
ATOMIC_SPECIES
Ho 164.93 Ho.upf
Er 167.26 Er.upf
Lu 174.97 Lu.upf
In 114.82 In.upf
CELL_PARAMETERS angstrom
0.000 3.811 3.811
3.811 0.000 3.811
3.811 3.811 0.000
ATOMIC_POSITIONS angstrom
Ho 0.000 0.000 0.000
Er 3.811 3.811 3.811
Lu 5.716 5.716 5.716
In 1.905 1.905 1.905
```


(3)
Computed, not measured: a relaxed HoErMgIn crystal at the GGA-PBE level of DFT. Values from VASP.

Output
E_form (eV/atom): -0.31
Space group: No. 216
Volume (A^3/atom): 26.01

The structure in Quantum ESPRESSO input format:
```
&SYSTEM
  ibrav = 0, nat = 4, ntyp = 4
/
ATOMIC_SPECIES
Ho 164.93 Ho.upf
Er 167.26 Er.upf
Mg 24.30 Mg.upf
In 114.82 In.upf
CELL_PARAMETERS angstrom
0.000 3.733 3.733
3.733 0.000 3.733
3.733 3.733 0.000
ATOMIC_POSITIONS angstrom
Ho 0.000 0.000 0.000
Er 3.733 3.733 3.733
Mg 5.599 5.599 5.599
In 1.866 1.866 1.866
```


(4)
Computed, not measured: a relaxed Ho2ErInN crystal at the GGA-PBE level of DFT. Values from VASP.

Output
Energy relative to the elements, uncorrected (eV per formula unit): -5.1
Space group: No. 123
Volume (A^3/atom): 21.88

The structure in Quantum ESPRESSO input format:
```
&SYSTEM
  ibrav = 0, nat = 5, ntyp = 4
/
ATOMIC_SPECIES
Ho 164.93 Ho.upf
Er 167.26 Er.upf
In 114.82 In.upf
N 14.01 N.upf
CELL_PARAMETERS angstrom
4.791 0.000 0.000
0.000 4.791 0.000
0.000 0.000 4.767
ATOMIC_POSITIONS angstrom
Ho 0.000 2.395 0.000
Ho 2.395 0.000 0.000
Er 0.000 0.000 2.383
In 2.395 2.395 2.383
N 0.000 0.000 0.000
```


(5)
Computed, not measured: a relaxed HoEr2InN crystal at the GGA-PBE level of DFT. Values from VASP.

Output
Energy relative to the elements, uncorrected (eV per formula unit): -5.1
Space group: No. 123
Volume (A^3/atom): 21.76

The structure in Quantum ESPRESSO input format:
```
&SYSTEM
  ibrav = 0, nat = 5, ntyp = 4
/
ATOMIC_SPECIES
Ho 164.93 Ho.upf
Er 167.26 Er.upf
In 114.82 In.upf
N 14.01 N.upf
CELL_PARAMETERS angstrom
4.766 0.000 0.000
0.000 4.766 0.000
0.000 0.000 4.789
ATOMIC_POSITIONS angstrom
Ho 0.000 0.000 0.000
Er 0.000 2.383 2.395
Er 2.383 0.000 2.395
In 2.383 2.383 0.000
N 0.000 0.000 2.395
```


(6)
Computed, not measured: a relaxed Ho2ErInN4 crystal at the GGA-PBE level of DFT. Values from VASP.

Output
Energy relative to the elements, uncorrected (eV per formula unit): -9.9
Space group: No. 10
Volume (A^3/atom): 14.12

The structure in Quantum ESPRESSO input format:
```
&SYSTEM
  ibrav = 0, nat = 8, ntyp = 4
/
ATOMIC_SPECIES
Ho 164.93 Ho.upf
Er 167.26 Er.upf
In 114.82 In.upf
N 14.01 N.upf
CELL_PARAMETERS angstrom
5.925 0.000 0.000
0.000 3.429 0.000
-2.061 0.000 5.562
ATOMIC_POSITIONS angstrom
Ho 0.000 0.000 0.000
Ho -1.030 1.714 2.781
Er 1.932 0.000 2.781
In 2.962 1.714 0.000
N 0.922 1.714 1.428
N -0.062 0.000 4.166
N 3.926 0.000 1.396
N 2.942 1.714 4.133
```


(7)
Computed, not measured: a relaxed HoEr2InN4 crystal at the GGA-PBE level of DFT. Values from VASP.

Output
Energy relative to the elements, uncorrected (eV per formula unit): -10.0
Space group: No. 10
Volume (A^3/atom): 14.06

The structure in Quantum ESPRESSO input format:
```
&SYSTEM
  ibrav = 0, nat = 8, ntyp = 4
/
ATOMIC_SPECIES
Ho 164.93 Ho.upf
Er 167.26 Er.upf
In 114.82 In.upf
N 14.01 N.upf
CELL_PARAMETERS angstrom
5.916 0.000 0.000
0.000 3.423 0.000
-2.054 0.000 5.555
ATOMIC_POSITIONS angstrom
Ho 0.000 0.000 0.000
Er -1.027 1.711 2.777
Er 1.931 0.000 2.777
In 2.958 1.711 0.000
N 0.918 1.711 1.429
N -0.063 0.000 4.155
N 3.925 0.000 1.399
N 2.944 1.711 4.125
```


(8)
Computed, not measured: a relaxed Nd6Ho3Er2In crystal at the GGA-PBE level of DFT. Values from VASP.

Output
E_form (eV/atom): -0.03
Space group: No. 12
Volume (A^3/atom): 32.14

The structure in Quantum ESPRESSO input format:
```
&SYSTEM
  ibrav = 0, nat = 12, ntyp = 4
/
ATOMIC_SPECIES
Nd 144.24 Nd.upf
Ho 164.93 Ho.upf
Er 167.26 Er.upf
In 114.82 In.upf
CELL_PARAMETERS angstrom
3.096 -5.376 0.000
3.096 5.376 0.000
-2.091 0.000 11.586
ATOMIC_POSITIONS angstrom
Nd -0.040 1.763 8.659
Nd 0.992 0.000 2.911
Nd -0.040 -1.763 8.659
Nd 4.140 1.763 2.927
Nd 3.108 0.000 8.675
Nd 4.140 -1.763 2.927
Ho 3.096 3.572 0.000
Ho 3.096 0.000 0.000
Ho 3.096 -3.572 0.000
Er 2.050 1.789 5.793
Er 2.050 -1.789 5.793
In -1.046 0.000 5.793
```


(9)
Computed, not measured: a relaxed Nd6Ho2Er3In crystal at the GGA-PBE level of DFT. Values from VASP.

Output
E_form (eV/atom): -0.03
Space group: No. 12
Volume (A^3/atom): 32.06

The structure in Quantum ESPRESSO input format:
```
&SYSTEM
  ibrav = 0, nat = 12, ntyp = 4
/
ATOMIC_SPECIES
Nd 144.24 Nd.upf
Ho 164.93 Ho.upf
Er 167.26 Er.upf
In 114.82 In.upf
CELL_PARAMETERS angstrom
3.092 -5.368 0.000
3.092 5.368 0.000
-2.087 0.000 11.591
ATOMIC_POSITIONS angstrom
Nd -0.038 1.760 8.676
Nd 0.991 0.000 2.901
Nd -0.038 -1.760 8.676
Nd 4.135 1.760 2.915
Nd 3.106 0.000 8.690
Nd 4.135 -1.760 2.915
Ho 2.048 1.786 5.795
Ho 2.048 -1.786 5.795
Er 3.092 3.569 0.000
Er 3.092 0.000 0.000
Er 3.092 -3.569 0.000
In -1.043 0.000 5.795
```


(10)
Computed, not measured: a relaxed NdHo2ErIn4 crystal at the GGA-PBE level of DFT. Values from VASP.

Output
E_form (eV/atom): -0.46
Space group: No. 166
Volume (A^3/atom): 26.92

The structure in Quantum ESPRESSO input format:
```
&SYSTEM
  ibrav = 0, nat = 8, ntyp = 4
/
ATOMIC_SPECIES
Nd 144.24 Nd.upf
Ho 164.93 Ho.upf
Er 167.26 Er.upf
In 114.82 In.upf
CELL_PARAMETERS angstrom
2.667 1.540 8.744
-2.667 1.540 8.744
0.000 -3.079 8.744
ATOMIC_POSITIONS angstrom
Nd 0.000 0.000 0.000
Ho 0.000 0.000 6.543
Ho 0.000 0.000 19.689
Er 0.000 0.000 13.116
In 0.000 0.000 3.321
In 0.000 0.000 9.883
In 0.000 0.000 16.349
In 0.000 0.000 22.911
```


(11)
Computed, not measured: a relaxed Nd3Ho6Er2In crystal at the GGA-PBE level of DFT. Values from VASP.

Output
E_form (eV/atom): -0.03
Space group: No. 12
Volume (A^3/atom): 31.02

The structure in Quantum ESPRESSO input format:
```
&SYSTEM
  ibrav = 0, nat = 12, ntyp = 4
/
ATOMIC_SPECIES
Nd 144.24 Nd.upf
Ho 164.93 Ho.upf
Er 167.26 Er.upf
In 114.82 In.upf
CELL_PARAMETERS angstrom
3.065 -5.308 0.000
3.065 5.308 0.000
-2.045 0.000 11.440
ATOMIC_POSITIONS angstrom
Nd 0.000 0.000 0.000
Nd 3.065 1.771 0.000
Nd 3.065 -1.771 0.000
Ho 1.041 1.742 2.948
Ho 0.027 0.000 8.501
Ho 1.041 -1.742 2.948
Ho 3.045 1.742 8.492
Ho 4.059 0.000 2.939
Ho 3.045 -1.742 8.492
Er 2.043 3.543 5.720
Er 2.043 -3.543 5.720
In 2.043 0.000 5.720
```


(12)
Computed, not measured: a relaxed HoErInPb crystal at the GGA-PBE level of DFT. Values from VASP.

Output
E_form (eV/atom): -0.42
Polymorph energy (0 for the lowest one) (meV per atom): 0
Space group: No. 119
Volume (A^3/atom): 27.00

The structure in Quantum ESPRESSO input format:
```
&SYSTEM
  ibrav = 0, nat = 4, ntyp = 4
/
ATOMIC_SPECIES
Ho 164.93 Ho.upf
Er 167.26 Er.upf
In 114.82 In.upf
Pb 207.20 Pb.upf
CELL_PARAMETERS angstrom
-2.478 2.478 4.398
2.478 -2.478 4.398
2.478 2.478 -4.398
ATOMIC_POSITIONS angstrom
Ho 0.000 0.000 0.000
Er 0.000 0.000 4.398
In 0.000 2.478 2.199
Pb 2.478 0.000 2.199
```


(13)
Computed, not measured: a relaxed HoErInPb crystal at the GGA-PBE level of DFT. Values from VASP.

Output
E_form (eV/atom): -0.38
Polymorph energy (0 for the lowest one) (meV per atom): 44
Space group: No. 216
Volume (A^3/atom): 27.28

The structure in Quantum ESPRESSO input format:
```
&SYSTEM
  ibrav = 0, nat = 4, ntyp = 4
/
ATOMIC_SPECIES
Ho 164.93 Ho.upf
Er 167.26 Er.upf
In 114.82 In.upf
Pb 207.20 Pb.upf
CELL_PARAMETERS angstrom
0.000 3.793 3.793
3.793 0.000 3.793
3.793 3.793 0.000
ATOMIC_POSITIONS angstrom
Ho 0.000 0.000 0.000
Er 3.793 3.793 3.793
In 5.689 5.689 5.689
Pb 1.896 1.896 1.896
```


(14)
Computed, not measured: a relaxed HoErInPd crystal at the GGA-PBE level of DFT. Values from VASP.

Output
E_form (eV/atom): -0.62
Polymorph energy (0 for the lowest one) (meV per atom): 79
Space group: No. 216
Volume (A^3/atom): 23.80

The structure in Quantum ESPRESSO input format:
```
&SYSTEM
  ibrav = 0, nat = 4, ntyp = 4
/
ATOMIC_SPECIES
Ho 164.93 Ho.upf
Er 167.26 Er.upf
In 114.82 In.upf
Pd 106.42 Pd.upf
CELL_PARAMETERS angstrom
0.000 3.624 3.624
3.624 0.000 3.624
3.624 3.624 0.000
ATOMIC_POSITIONS angstrom
Ho 0.000 0.000 0.000
Er 3.624 3.624 3.624
In 1.812 1.812 1.812
Pd 5.436 5.436 5.436
```


(15)
Computed, not measured: a relaxed HoErInPd crystal at the GGA-PBE level of DFT. Values from VASP.

Output
E_form (eV/atom): -0.69
Polymorph energy (0 for the lowest one) (meV per atom): 0
Space group: No. 99
Volume (A^3/atom): 23.68

The structure in Quantum ESPRESSO input format:
```
&SYSTEM
  ibrav = 0, nat = 4, ntyp = 4
/
ATOMIC_SPECIES
Ho 164.93 Ho.upf
Er 167.26 Er.upf
In 114.82 In.upf
Pd 106.42 Pd.upf
CELL_PARAMETERS angstrom
3.500 0.000 0.000
0.000 3.500 0.000
0.000 0.000 7.733
ATOMIC_POSITIONS angstrom
Ho 0.000 0.000 0.000
Er 0.000 0.000 4.287
In 1.750 1.750 2.151
Pd 1.750 1.750 5.985
```


(16)
Computed, not measured: a relaxed Pm3Ho2Er6In crystal at the GGA-PBE level of DFT. Values from VASP.

Output
E_form (eV/atom): -0.04
Space group: No. 12
Volume (A^3/atom): 30.65

The structure in Quantum ESPRESSO input format:
```
&SYSTEM
  ibrav = 0, nat = 12, ntyp = 4
/
ATOMIC_SPECIES
Pm 145.00 Pm.upf
Ho 164.93 Ho.upf
Er 167.26 Er.upf
In 114.82 In.upf
CELL_PARAMETERS angstrom
3.049 -5.280 0.000
3.049 5.280 0.000
-2.038 0.000 11.422
ATOMIC_POSITIONS angstrom
Pm 0.000 0.000 0.000
Pm 3.049 1.760 0.000
Pm 3.049 -1.760 0.000
Ho 2.030 3.524 5.711
Ho 2.030 -3.524 5.711
Er 1.035 1.734 2.929
Er 0.020 0.000 8.503
Er 1.035 -1.734 2.929
Er 3.025 1.734 8.493
Er 4.040 0.000 2.919
Er 3.025 -1.734 8.493
In 2.030 0.000 5.711
```


(17)
Computed, not measured: a relaxed Pm2Ho3Er6In crystal at the GGA-PBE level of DFT. Values from VASP.

Output
E_form (eV/atom): -0.05
Space group: No. 12
Volume (A^3/atom): 30.29

The structure in Quantum ESPRESSO input format:
```
&SYSTEM
  ibrav = 0, nat = 12, ntyp = 4
/
ATOMIC_SPECIES
Pm 145.00 Pm.upf
Ho 164.93 Ho.upf
Er 167.26 Er.upf
In 114.82 In.upf
CELL_PARAMETERS angstrom
3.025 -5.242 0.000
3.025 5.242 0.000
-2.022 0.000 11.463
ATOMIC_POSITIONS angstrom
Pm 3.025 3.499 0.000
Pm 3.025 -3.499 0.000
Ho -1.011 0.000 5.732
Ho 2.014 1.747 5.732
Ho 2.014 -1.747 5.732
Er 0.015 1.719 8.602
Er 1.038 0.000 2.872
Er 0.015 -1.719 8.602
Er 4.013 1.719 2.861
Er 2.990 0.000 8.591
Er 4.013 -1.719 2.861
In 3.025 0.000 0.000
```


(18)
Computed, not measured: a relaxed PmHoEr2In4 crystal at the GGA-PBE level of DFT. Values from VASP.

Output
E_form (eV/atom): -0.46
Space group: No. 166
Volume (A^3/atom): 26.71

The structure in Quantum ESPRESSO input format:
```
&SYSTEM
  ibrav = 0, nat = 8, ntyp = 4
/
ATOMIC_SPECIES
Pm 145.00 Pm.upf
Ho 164.93 Ho.upf
Er 167.26 Er.upf
In 114.82 In.upf
CELL_PARAMETERS angstrom
2.660 1.536 8.716
-2.660 1.536 8.716
0.000 -3.072 8.716
ATOMIC_POSITIONS angstrom
Pm 0.000 0.000 0.000
Ho 0.000 0.000 13.073
Er 0.000 0.000 6.526
Er 0.000 0.000 19.620
In 0.000 0.000 3.299
In 0.000 0.000 9.839
In 0.000 0.000 16.308
In 0.000 0.000 22.848
```


(19)
Computed, not measured: a relaxed Pm3Ho6Er2In crystal at the GGA-PBE level of DFT. Values from VASP.

Output
E_form (eV/atom): -0.04
Space group: No. 12
Volume (A^3/atom): 30.82

The structure in Quantum ESPRESSO input format:
```
&SYSTEM
  ibrav = 0, nat = 12, ntyp = 4
/
ATOMIC_SPECIES
Pm 145.00 Pm.upf
Ho 164.93 Ho.upf
Er 167.26 Er.upf
In 114.82 In.upf
CELL_PARAMETERS angstrom
3.057 -5.295 0.000
3.057 5.295 0.000
-2.042 0.000 11.424
ATOMIC_POSITIONS angstrom
Pm 0.000 0.000 0.000
Pm 3.057 1.768 0.000
Pm 3.057 -1.768 0.000
Ho 1.036 1.738 2.935
Ho 0.023 0.000 8.501
Ho 1.036 -1.738 2.935
Ho 3.036 1.738 8.489
Ho 4.049 0.000 2.923
Ho 3.036 -1.738 8.489
Er 2.036 3.534 5.712
Er 2.036 -3.534 5.712
In 2.036 0.000 5.712
```


(20)
Computed, not measured: a relaxed Pm6Ho2Er3In crystal at the GGA-PBE level of DFT. Values from VASP.

Output
E_form (eV/atom): -0.04
Space group: No. 12
Volume (A^3/atom): 31.64

The structure in Quantum ESPRESSO input format:
```
&SYSTEM
  ibrav = 0, nat = 12, ntyp = 4
/
ATOMIC_SPECIES
Pm 145.00 Pm.upf
Ho 164.93 Ho.upf
Er 167.26 Er.upf
In 114.82 In.upf
CELL_PARAMETERS angstrom
3.079 -5.341 0.000
3.079 5.341 0.000
-2.067 0.000 11.544
ATOMIC_POSITIONS angstrom
Pm -0.028 1.751 8.639
Pm 0.990 0.000 2.892
Pm -0.028 -1.751 8.639
Pm 4.120 1.751 2.905
Pm 3.102 0.000 8.652
Pm 4.120 -1.751 2.905
Ho 2.046 1.780 5.772
Ho 2.046 -1.780 5.772
Er 3.079 3.551 0.000
Er 3.079 0.000 0.000
Er 3.079 -3.551 0.000
In -1.033 0.000 5.772
```